NpNbN | PBE | relaxed

Summary:
- Raw formation energy: -0.5814 eV per atom
- D(E_F): 8.43 states/eV per cell
- Raw total energy: -11.03 eV/atom
- Volume: 92.6 Å³ per cell
- Excess energy over the best structure of this formula in the dataset: 0.0 kJ/mol of atoms

abc: 10.892 3.125 3.125
angles: 60.50 90.00 90.00
Atoms (fractional coordinates):
1 Np 0.000 0.000 0.000
2 Np 0.500 0.146 0.146
3 Nb 0.242 0.481 0.481
4 Nb 0.758 0.481 0.481
5 N 0.355 0.814 0.814
6 N 0.645 0.814 0.814